# RbGeI2Cl

Crystalline RbGeI2Cl at its relaxed geometry (PBE-GGA, the Alexandria database).

Geometry as POSCAR:
```
RbGeI2Cl
1.0
6.003 0.000 0.000
0.000 6.003 0.000
0.000 0.000 5.256
I Ge Rb Cl
2 1 1 1
Direct
0.000 0.500 0.000 I
0.500 0.000 0.000 I
0.000 0.000 0.000 Ge
0.500 0.500 0.500 Rb
0.000 0.000 0.500 Cl
```

Results
- size of the total moment (μB/cell) = 0.00
- formation energy (no corrections) (eV/f.u.) = -4.647
- offset from the most stable computed form (eV/atom) = 0.019
- calculated volume (Å³/atom) = 37.88